# LiAsSN2

A relaxed LiAsSN2 crystal (PBE, Alexandria).

Energy relative to the lowest polymorph listed for this composition: 774 meV per atom
Uncorrected formation energy: 1661 meV/atom
Spin magnetization: 1.8 μB per cell

Unit cell a=3.6698 b=3.6698 c=4.8875 alpha=90.00 beta=90.00 gamma=90.00
With the nearest neighbours (Å) after each atom.
Space group P4/mmm (No. 123)
One atom of each set of equivalent atoms:
Li: 0.0000 0.0000 0.0000 (multiplicity 1)  4 N 1.83
As: 0.5000 0.5000 0.5000 (multiplicity 1)  4 S 2.59
S: 0.0000 0.0000 0.5000 (multiplicity 1)  2 Li 2.44, 4 As 2.59
N: 0.0000 0.5000 0.0000 (multiplicity 2)  2 Li 1.83